[1]
Entry from the Alexandria database: a geometry-optimized AlSe2Br structure (GGA-PBE).

Cell: 4.894 4.894 4.894 Å, 60.00 60.00 60.00°
Atoms (fractional coordinates):
Se 0.250 0.250 0.250
Se 0.750 0.750 0.750
Br 0.500 0.500 0.500
Al 0.000 0.000 0.000

Calculated values
- raw total energy (eV per atom) = -2.746
- SG = Fm-3m (225)
- D(E_F) (states/eV per cell) = 3.31



[2]
Entry from the Alexandria database: a geometry-optimized NaCu6Sn6 structure (GGA-PBE).

Cell: 5.500 7.215 7.215 Å, 79.98 67.60 67.60°
Atoms (fractional coordinates):
Cu 0.500 0.251 0.749
Cu 0.500 0.500 0.000
Cu 0.500 0.000 0.500
Cu 0.000 0.500 0.000
Cu 0.000 0.000 0.500
Cu 0.500 0.749 0.251
Sn 0.000 0.665 0.335
Sn 0.665 0.835 0.835
Sn 0.335 0.165 0.165
Sn 0.332 0.668 0.668
Sn 0.000 0.335 0.665
Sn 0.668 0.332 0.332
Na 0.000 0.000 0.000

Calculated values
- SG = Immm (71)
- D(E_F) (states/eV per cell) = 4.42
- ΔH_f (0 K) (eV/f.u.) = 0.00



[3]
Entry from the Alexandria database: a geometry-optimized Y2TaSb structure (GGA-PBE).

Cell: 3.667 3.667 7.706 Å, 90.00 90.00 90.00°
Last column: magnetic moment on the atom in μB.
Atoms (fractional coordinates):
Y 0.500 0.500 0.291  0.30
Y 0.000 0.000 0.962  0.16
Sb 0.000 0.000 0.541  0.00
Ta 0.500 0.500 0.706  -0.03

Calculated values
- raw total energy (eV per atom) = -7.334
- SG = P4mm (99)
- D(E_F) (states/eV per cell) = 3.43



[4]
Entry from the Alexandria database: a geometry-optimized SrCaZn structure (GGA-PBE).

Cell: 5.404 5.404 5.404 Å, 60.00 60.00 60.00°
Atoms (fractional coordinates):
Ca 0.000 0.000 0.000
Zn 0.750 0.750 0.750
Sr 0.500 0.500 0.500

Calculated values
- SG = F-43m (216)
- D(E_F) (states/eV per cell) = 4.85
- ΔH_f (0 K) (eV/f.u.) = -0.03



[5]
Entry from the Alexandria database: a geometry-optimized ScBi structure (GGA-PBE).

Cell: 9.141 9.141 9.141 Å, 90.00 90.00 90.00°
Atoms (fractional coordinates):
Bi 0.173 0.827 0.173
Bi 0.173 0.173 0.827
Bi 0.673 0.327 0.673
Bi 0.827 0.827 0.827
Bi 0.327 0.673 0.673
Bi 0.827 0.173 0.173
Bi 0.673 0.673 0.327
Bi 0.327 0.327 0.327
Sc 0.645 0.645 0.645
Sc 0.145 0.145 0.145
Sc 0.645 0.355 0.355
Sc 0.145 0.855 0.855
Sc 0.855 0.855 0.145
Sc 0.355 0.645 0.355
Sc 0.855 0.145 0.855
Sc 0.355 0.355 0.645

Calculated values
- SG = I-43m (217)
- ΔH_f (0 K) (eV/f.u.) = -0.34



[6]
Entry from the Alexandria database: a geometry-optimized TaNiW2 structure (GGA-PBE).

Cell: 9.492 9.492 9.492 Å, 16.90 16.90 16.90°
Atoms (fractional coordinates):
Ta 0.750 0.750 0.750
W 0.992 0.992 0.992
W 0.508 0.508 0.508
Ni 0.250 0.250 0.250

Calculated values
- SG = R-3m (166)
- D(E_F) (states/eV per cell) = 3.52
- ΔH_f (0 K) (eV/f.u.) = 1.26